Entry 1:
The following is a DFT calculation (PBE-GGA) of crystalline NdYNi2 at its relaxed geometry.

The structure in CIF format:
```
data_NdYNi2
_cell_length_a 6.890
_cell_length_b 6.890
_cell_length_c 6.890
_cell_angle_alpha 90.00
_cell_angle_beta 90.00
_cell_angle_gamma 90.00
_symmetry_space_group_name_H-M 'F m -3 m'
_symmetry_Int_Tables_number 225
_symmetry_space_group_name_Hall '-F 4 2 3'
loop_
_atom_site_label
_atom_site_type_symbol
_atom_site_fract_x
_atom_site_fract_y
_atom_site_fract_z
Nd1 Nd 0.000 0.000 0.000
Y1 Y 0.000 0.000 0.500
Ni1 Ni 0.250 0.250 0.250
```

Output
calculated formation energy	-0.286	eV/atom
energy relative to the lowest polymorph listed for this composition	0.0873	eV per atom
volume	20.44	Å³/atom
crystal system	cubic
D(E_F)	4.8	states/eV/f.u.



Entry 2:
The following is a DFT calculation (PBE-GGA) of crystalline Nd3YNi8 at its relaxed geometry.

The structure in CIF format:
```
data_Nd3YNi8
_cell_length_a 5.1486
_cell_length_b 5.1486
_cell_length_c 25.2852
_cell_angle_alpha 90.00
_cell_angle_beta 90.00
_cell_angle_gamma 120.00
_symmetry_space_group_name_H-M 'R 3 m'
_symmetry_Int_Tables_number 160
_symmetry_space_group_name_Hall 'R 3 -2"'
loop_
_atom_site_label
_atom_site_type_symbol
_atom_site_fract_x
_atom_site_fract_y
_atom_site_fract_z
Nd1 Nd 0.0000 0.0000 0.0000
Nd2 Nd 0.0000 0.0000 0.1252
Nd3 Nd 0.0000 0.0000 0.5006
Y1 Y 0.0000 0.0000 0.6252
Ni1 Ni 0.0000 0.0000 0.3125
Ni2 Ni 0.0000 0.0000 0.8128
Ni3 Ni 0.0004 0.5002 0.5637
Ni4 Ni 0.1676 0.3353 0.3952
```

Output
calculated formation energy	-0.336	eV/atom
volume	16.12	Å³/atom
crystal system	trigonal
D(E_F)	8.3	states/eV/f.u.



Entry 3:
The following is a DFT calculation (PBE-GGA) of crystalline NdY3Ni at its relaxed geometry.

The structure in CIF format:
```
data_NdY3Ni
_cell_length_a 11.685
_cell_length_b 8.407
_cell_length_c 8.132
_cell_angle_alpha 90.00
_cell_angle_beta 132.36
_cell_angle_gamma 90.00
_symmetry_space_group_name_H-M 'C 1 2/m 1'
_symmetry_Int_Tables_number 12
loop_
_symmetry_equiv_pos_as_xyz
'x,y,z'
'-x,-y,-z'
'-x,y,-z'
'x,-y,z'
'x+1/2,y+1/2,z'
'-x+1/2,-y+1/2,-z'
'-x+1/2,y+1/2,-z'
'x+1/2,-y+1/2,z'
loop_
_atom_site_label
_atom_site_type_symbol
_atom_site_fract_x
_atom_site_fract_y
_atom_site_fract_z
Nd1 Nd 0.042 0.000 0.325
Y1 Y 0.055 0.500 0.264
Y2 Y 0.243 0.298 0.783
Ni1 Ni 0.240 0.500 0.100
```

Output
calculated formation energy	-0.108	eV/atom
energy relative to the lowest polymorph listed for this composition	0.0000	eV per atom
volume	29.51	Å³/atom
crystal system	monoclinic
D(E_F)	6.9	states/eV/f.u.



Entry 4:
The following is a DFT calculation (PBE-GGA) of crystalline NdY3Ni8 at its relaxed geometry.

The structure in CIF format:
```
data_NdY3Ni8
_cell_length_a 5.1021
_cell_length_b 5.1021
_cell_length_c 25.0691
_cell_angle_alpha 90.00
_cell_angle_beta 90.00
_cell_angle_gamma 120.00
_symmetry_space_group_name_H-M 'R 3 m'
_symmetry_Int_Tables_number 160
_symmetry_space_group_name_Hall 'R 3 -2"'
loop_
_atom_site_label
_atom_site_type_symbol
_atom_site_fract_x
_atom_site_fract_y
_atom_site_fract_z
Nd1 Nd 0.0000 0.0000 0.0000
Y1 Y 0.0000 0.0000 0.1252
Y2 Y 0.0000 0.0000 0.4999
Y3 Y 0.0000 0.0000 0.6244
Ni1 Ni 0.0000 0.0000 0.3121
Ni2 Ni 0.0000 0.0000 0.8125
Ni3 Ni 0.0004 0.5002 0.0634
Ni4 Ni 0.1677 0.3355 0.8949
```

Output
calculated formation energy	-0.390	eV/atom
volume	15.70	Å³/atom
crystal system	trigonal
D(E_F)	6.9	states/eV/f.u.



Entry 5:
The following is a DFT calculation (PBE-GGA) of crystalline Nd2YNi6 at its relaxed geometry.

The structure in CIF format:
```
data_Nd2YNi6
_cell_length_a 6.9406
_cell_length_b 6.9406
_cell_length_c 3.9349
_cell_angle_alpha 90.00
_cell_angle_beta 90.00
_cell_angle_gamma 120.00
_symmetry_space_group_name_H-M 'P 6/m m m'
_symmetry_Int_Tables_number 191
_symmetry_space_group_name_Hall '-P 6 2'
loop_
_atom_site_label
_atom_site_type_symbol
_atom_site_fract_x
_atom_site_fract_y
_atom_site_fract_z
Nd1 Nd 0.3333 0.6667 0.0000
Y1 Y 0.0000 0.0000 0.0000
Ni1 Ni 0.0000 0.3317 0.5000
```

Output
calculated formation energy	-0.334	eV/atom
volume	18.24	Å³/atom
crystal system	hexagonal
D(E_F)	9.8	states/eV/f.u.



Entry 6:
The following is a DFT calculation (PBE-GGA) of crystalline NdYNi at its relaxed geometry.

The structure in CIF format:
```
data_NdYNi
_cell_length_a 3.470
_cell_length_b 3.470
_cell_length_c 12.692
_cell_angle_alpha 90.00
_cell_angle_beta 90.00
_cell_angle_gamma 90.00
_symmetry_space_group_name_H-M 'I 4 m m'
_symmetry_Int_Tables_number 107
_symmetry_space_group_name_Hall 'I 4 -2'
loop_
_atom_site_label
_atom_site_type_symbol
_atom_site_fract_x
_atom_site_fract_y
_atom_site_fract_z
Nd1 Nd 0.000 0.000 0.000
Y1 Y 0.000 0.000 0.262
Ni1 Ni 0.000 0.000 0.640
```

Output
calculated formation energy	-0.178	eV/atom
energy relative to the lowest polymorph listed for this composition	0.0659	eV per atom
volume	25.47	Å³/atom
crystal system	tetragonal
D(E_F)	3.4	states/eV/f.u.



Entry 7:
The following is a DFT calculation (PBE-GGA) of crystalline NdYNi at its relaxed geometry.

The structure in CIF format:
```
data_NdYNi
_cell_length_a 6.841
_cell_length_b 6.841
_cell_length_c 6.841
_cell_angle_alpha 90.00
_cell_angle_beta 90.00
_cell_angle_gamma 90.00
_symmetry_space_group_name_H-M 'F -4 3 m'
_symmetry_Int_Tables_number 216
_symmetry_space_group_name_Hall 'F -4 2 3'
loop_
_atom_site_label
_atom_site_type_symbol
_atom_site_fract_x
_atom_site_fract_y
_atom_site_fract_z
Nd1 Nd 0.000 0.000 0.000
Y1 Y 0.000 0.000 0.500
Ni1 Ni 0.250 0.250 0.750
```

Output
calculated formation energy	-0.087	eV/atom
energy relative to the lowest polymorph listed for this composition	0.1566	eV per atom
volume	26.68	Å³/atom
crystal system	cubic
D(E_F)	3.1	states/eV/f.u.



Entry 8:
The following is a DFT calculation (PBE-GGA) of crystalline NdY3Ni at its relaxed geometry.

The structure in CIF format:
```
data_NdY3Ni
_cell_length_a 5.358
_cell_length_b 5.358
_cell_length_c 5.358
_cell_angle_alpha 90.00
_cell_angle_beta 90.00
_cell_angle_gamma 90.00
_symmetry_space_group_name_H-M 'P m -3 m'
_symmetry_Int_Tables_number 221
_symmetry_space_group_name_Hall '-P 4 2 3'
loop_
_atom_site_label
_atom_site_type_symbol
_atom_site_fract_x
_atom_site_fract_y
_atom_site_fract_z
Nd1 Nd 0.000 0.000 0.000
Y1 Y 0.000 0.500 0.500
Ni1 Ni 0.500 0.500 0.500
```

Output
calculated formation energy	-0.076	eV/atom
energy relative to the lowest polymorph listed for this composition	0.0325	eV per atom
volume	30.76	Å³/atom
crystal system	cubic
D(E_F)	9.1	states/eV/f.u.



Entry 9:
The following is a DFT calculation (PBE-GGA) of crystalline NdY12Ni6 at its relaxed geometry.

The structure in CIF format:
```
data_NdY12Ni6
_cell_length_a 9.904
_cell_length_b 9.904
_cell_length_c 9.904
_cell_angle_alpha 90.00
_cell_angle_beta 90.00
_cell_angle_gamma 90.00
_symmetry_space_group_name_H-M 'I m -3'
_symmetry_Int_Tables_number 204
_symmetry_space_group_name_Hall '-I 2 2 3'
loop_
_atom_site_label
_atom_site_type_symbol
_atom_site_fract_x
_atom_site_fract_y
_atom_site_fract_z
Nd1 Nd 0.000 0.000 0.000
Y1 Y 0.000 0.311 0.184
Ni1 Ni 0.000 0.123 0.500
```

Output
calculated formation energy	-0.231	eV/atom
volume	25.56	Å³/atom
crystal system	cubic
D(E_F)	24.2	states/eV/f.u.



Entry 10:
The following is a DFT calculation (PBE-GGA) of crystalline Nd2YNi2 at its relaxed geometry.

The structure in CIF format:
```
data_Nd2YNi2
_cell_length_a 11.768
_cell_length_b 3.929
_cell_length_c 5.692
_cell_angle_alpha 90.00
_cell_angle_beta 108.55
_cell_angle_gamma 90.00
_symmetry_space_group_name_H-M 'C 1 2/m 1'
_symmetry_Int_Tables_number 12
loop_
_symmetry_equiv_pos_as_xyz
'x,y,z'
'-x,-y,-z'
'-x,y,-z'
'x,-y,z'
'x+1/2,y+1/2,z'
'-x+1/2,-y+1/2,-z'
'-x+1/2,y+1/2,-z'
'x+1/2,-y+1/2,z'
loop_
_atom_site_label
_atom_site_type_symbol
_atom_site_fract_x
_atom_site_fract_y
_atom_site_fract_z
Nd1 Nd 0.154 0.000 0.116
Y1 Y 0.000 0.500 0.500
Ni1 Ni 0.187 0.000 0.628
```

Output
calculated formation energy	-0.155	eV/atom
energy relative to the lowest polymorph listed for this composition	0.0955	eV per atom
volume	24.95	Å³/atom
crystal system	monoclinic
D(E_F)	4.0	states/eV/f.u.



Entry 11:
The following is a DFT calculation (PBE-GGA) of crystalline Nd3Y3Ni4 at its relaxed geometry.

The structure in CIF format:
```
data_Nd3Y3Ni4
_cell_length_a 3.889
_cell_length_b 10.769
_cell_length_c 11.013
_cell_angle_alpha 90.00
_cell_angle_beta 90.00
_cell_angle_gamma 90.00
_symmetry_space_group_name_H-M 'A m m 2'
_symmetry_Int_Tables_number 38
loop_
_symmetry_equiv_pos_as_xyz
'x,y,z'
'-x,-y,z'
'-x,y,z'
'x,-y,z'
'x,y+1/2,z+1/2'
'-x,-y+1/2,z+1/2'
'-x,y+1/2,z+1/2'
'x,-y+1/2,z+1/2'
loop_
_atom_site_label
_atom_site_type_symbol
_atom_site_fract_x
_atom_site_fract_y
_atom_site_fract_z
Nd1 Nd 0.000 0.000 0.000
Nd2 Nd 0.500 0.244 0.105
Y1 Y 0.000 0.000 0.675
Y2 Y 0.000 0.164 0.355
Ni1 Ni 0.500 0.000 0.235
Ni2 Ni 0.500 0.000 0.469
Ni3 Ni 0.500 0.120 0.838
```

Output
calculated formation energy	-0.251	eV/atom
volume	23.06	Å³/atom
crystal system	orthorhombic
D(E_F)	9.6	states/eV/f.u.



Entry 12:
The following is a DFT calculation (PBE-GGA) of crystalline NdYNi at its relaxed geometry.

The structure in CIF format:
```
data_NdYNi
_cell_length_a 4.5500
_cell_length_b 4.5500
_cell_length_c 4.2813
_cell_angle_alpha 90.00
_cell_angle_beta 90.00
_cell_angle_gamma 120.00
_symmetry_space_group_name_H-M 'P 3 m 1'
_symmetry_Int_Tables_number 156
loop_
_symmetry_equiv_pos_as_xyz
'x,y,z'
'-y,x-y,z'
'-x+y,-x,z'
'-y,-x,z'
'-x+y,y,z'
'x,x-y,z'
loop_
_atom_site_label
_atom_site_type_symbol
_atom_site_fract_x
_atom_site_fract_y
_atom_site_fract_z
Nd1 Nd 0.0000 0.0000 0.0000
Y1 Y 0.3333 0.6667 0.4872
Ni1 Ni 0.6667 0.3333 0.6946
```

Output
calculated formation energy	-0.034	eV/atom
energy relative to the lowest polymorph listed for this composition	0.2099	eV per atom
volume	25.59	Å³/atom
crystal system	trigonal
D(E_F)	3.4	states/eV/f.u.



Question: What is the volume in the eleventh record?
Answer: 23.06 Å³/atom



Question: Look up the volume of the fifth one.
Answer: 18.24 Å³/atom



Question: Which of these has the lowest D(E_F)?
Answer: number 7



Question: The highest D(E_F) belongs to which entry?
Answer: NdY12Ni6